The following is a GGA-PBEsol calculation of a relaxed P2PdICl crystal, from the Alexandria database.

* space-group type: P4/mmm, No. 123
* ΔE_f (raw): 9.6 kcal/mol of atoms
* E above lowest polymorph: 0.00 eV per formula unit
* DOS(E_F): 3.66 states/eV per cell

a b c (Å): 4.700 4.700 4.751
angles (deg): 90.00 90.00 90.00
Sites, in units of the cell vectors:
I: 0.500 0.500 0.500
P: 0.000 0.500 0.000
P: 0.500 0.000 0.000
Pd: 0.000 0.000 0.000
Cl: 0.000 0.000 0.500